Crystalline AgP2RuSe at its relaxed geometry. Source: Alexandria via LeMat-Bulk, functional GGA-PBE.

Calculated values
M_tot, μB per cell: 0.000
Formation energy from raw total energies, eV/f.u.: 7.93

Lattice parameters (Å, degrees): 4.647 4.983 4.647 90.00 90.00 90.00
Fractional positions:
Se 0.000 0.500 0.000
Ru 0.500 0.500 0.500
Ag 0.000 0.000 0.000
P 0.500 0.000 0.000
P 0.000 0.000 0.500


Crystalline AgSnPRu2 at its relaxed geometry. Source: Alexandria via LeMat-Bulk, functional GGA-PBE.

Calculated values
M_tot, μB per cell: 0.000
Energy relative to the elements, eV/f.u.: 2.81

Lattice parameters (Å, degrees): 4.380 5.104 4.380 90.00 90.00 90.00
Fractional positions:
Ru 0.000 0.000 0.500
Ru 0.500 0.000 0.000
P 0.000 0.000 0.000
Sn 0.000 0.500 0.000
Ag 0.500 0.500 0.500


Crystalline Ag3PS6 at its relaxed geometry. Source: Alexandria via LeMat-Bulk, functional GGA-PBE.

Calculated values
M_tot, μB per cell: 0.000
Formation energy from raw total energies, eV/f.u.: 1.85

Lattice parameters (Å, degrees): 5.953 6.151 10.729 90.00 95.11 90.00
Fractional positions:
S 0.124 0.030 0.803
S 0.798 0.682 0.585
S 0.624 0.470 0.303
S 0.845 0.691 0.921
S 0.702 0.182 0.915
S 0.376 0.530 0.697
S 0.655 0.191 0.579
S 0.202 0.318 0.415
S 0.298 0.818 0.085
S 0.155 0.309 0.079
S 0.876 0.970 0.197
S 0.345 0.809 0.421
Ag 0.504 0.873 0.812
Ag 0.496 0.127 0.188
Ag 0.996 0.373 0.688
Ag 0.000 0.000 0.500
Ag 0.500 0.500 0.000
Ag 0.004 0.627 0.312
P 0.500 0.500 0.500
P 0.000 0.000 0.000


Crystalline AgPS3 at its relaxed geometry. Source: Alexandria via LeMat-Bulk, functional GGA-PBE.

Calculated values
M_tot, μB per cell: 0.000
Formation energy from raw total energies, eV/f.u.: 2.57
ΔE to the lowest computed polymorph, eV per formula unit: 3.36

Lattice parameters (Å, degrees): 4.545 4.545 4.545 90.00 90.00 90.00
Fractional positions:
S 0.000 0.500 0.000
S 0.000 0.000 0.500
S 0.500 0.000 0.000
Ag 0.500 0.500 0.500
P 0.000 0.000 0.000


Crystalline Ag2PS3 at its relaxed geometry. Source: Alexandria via LeMat-Bulk, functional GGA-PBE.

Calculated values
M_tot, μB per cell: 0.000
Formation energy from raw total energies, eV/f.u.: -1.04
ΔE to the lowest computed polymorph, eV per formula unit: 0.00

Lattice parameters (Å, degrees): 6.596 12.120 19.844 90.00 93.13 90.00
Fractional positions:
Ag 0.486 0.339 0.870
Ag 0.925 0.208 0.493
Ag 0.417 0.566 0.335
Ag 0.075 0.792 0.507
Ag 0.914 0.061 0.907
Ag 0.020 0.249 0.721
Ag 0.075 0.708 0.007
Ag 0.914 0.439 0.407
Ag 0.086 0.939 0.093
Ag 0.980 0.749 0.779
Ag 0.514 0.839 0.630
Ag 0.583 0.434 0.665
Ag 0.583 0.066 0.165
Ag 0.515 0.870 0.392
Ag 0.020 0.251 0.221
Ag 0.486 0.161 0.370
Ag 0.417 0.934 0.835
Ag 0.515 0.630 0.892
Ag 0.925 0.292 0.993
Ag 0.980 0.751 0.279
Ag 0.514 0.661 0.130
Ag 0.485 0.130 0.608
Ag 0.086 0.561 0.593
Ag 0.485 0.370 0.108
S 0.164 0.110 0.010
S 0.119 0.849 0.628
S 0.119 0.651 0.128
S 0.682 0.873 0.752
S 0.703 0.524 0.060
S 0.534 0.374 0.394
S 0.645 0.182 0.060
S 0.881 0.151 0.372
S 0.911 0.956 0.203
S 0.534 0.126 0.894
S 0.897 0.863 0.394
S 0.911 0.544 0.703
S 0.103 0.363 0.106
S 0.466 0.626 0.606
S 0.836 0.890 0.990
S 0.089 0.456 0.297
S 0.667 0.155 0.728
S 0.881 0.349 0.872
S 0.645 0.318 0.560
S 0.682 0.627 0.252
S 0.466 0.874 0.106
S 0.836 0.610 0.490
S 0.667 0.345 0.228
S 0.333 0.845 0.272
S 0.089 0.044 0.797
S 0.355 0.682 0.440
S 0.318 0.373 0.748
S 0.297 0.476 0.940
S 0.103 0.137 0.606
S 0.897 0.637 0.894
S 0.333 0.655 0.772
S 0.318 0.127 0.248
S 0.297 0.024 0.440
S 0.355 0.818 0.940
S 0.703 0.976 0.560
S 0.164 0.390 0.510
P 0.045 0.009 0.375
P 0.045 0.491 0.875
P 0.539 0.594 0.508
P 0.461 0.094 0.992
P 0.955 0.509 0.125
P 0.461 0.406 0.492
P 0.539 0.906 0.008
P 0.158 0.516 0.768
P 0.842 0.484 0.232
P 0.842 0.016 0.732
P 0.955 0.991 0.625
P 0.158 0.984 0.268


Crystalline Ag2PS3 at its relaxed geometry. Source: Alexandria via LeMat-Bulk, functional GGA-PBE.

Calculated values
M_tot, μB per cell: 0.000
Formation energy from raw total energies, eV/f.u.: 0.28
ΔE to the lowest computed polymorph, eV per formula unit: 1.32

Lattice parameters (Å, degrees): 6.165 6.485 6.791 80.09 68.78 61.62
Fractional positions:
S 0.941 0.626 0.207
S 0.567 0.374 0.207
S 0.262 0.000 0.274
S 0.738 0.000 0.726
S 0.059 0.374 0.793
S 0.433 0.626 0.793
Ag 0.000 0.000 0.000
Ag 0.837 0.325 0.500
Ag 0.500 0.000 0.500
Ag 0.163 0.675 0.500
P 0.682 0.637 0.000
P 0.318 0.363 0.000


Q: M_tot of number 2 (AgSnPRu2)?
A: 0.000 μB per cell


Q: Which formula does entry 1 have?
A: AgP2RuSe


Please write out number 2 again, unchanged.
Crystalline AgSnPRu2 at its relaxed geometry. Source: Alexandria via LeMat-Bulk, functional GGA-PBE.

Calculated values
M_tot, μB per cell: 0.000
Energy relative to the elements, eV/f.u.: 2.81

Lattice parameters (Å, degrees): 4.380 5.104 4.380 90.00 90.00 90.00
Fractional positions:
Ru 0.000 0.000 0.500
Ru 0.500 0.000 0.000
P 0.000 0.000 0.000
Sn 0.000 0.500 0.000
Ag 0.500 0.500 0.500